A:
Ge3BMo (PBE, optimized geometry); space group = Pm-3m; size of the total moment = 0.0 μB/cell; ρ = 4.66 g cm⁻³
1.0
4.871 0.000 0.000
0.000 4.871 0.000
0.000 0.000 4.871
Ge B Mo
3 1 1
Cartesian
0.000 0.000 2.436
0.000 2.436 0.000
2.436 0.000 0.000
2.436 2.436 2.436
0.000 0.000 0.000

---

B:
Ge3BMo (PBE, optimized geometry); space group = Pm-3m; size of the total moment = 2.7 μB/cell; ρ = 6.52 g cm⁻³
1.0
4.356 0.000 0.000
0.000 4.356 0.000
0.000 0.000 4.356
Ge B Mo
3 1 1
Cartesian
0.000 0.000 2.178
0.000 2.178 0.000
2.178 0.000 0.000
0.000 0.000 0.000
2.178 2.178 2.178

---

Which is more stable than every other structure shown? B is more stable than every other one.